(1)
Entry from Alexandria via LeMat-Bulk: a relaxed structure of BaBeHg2 (GGA-PBE).

Cell and atoms, written as extended XYZ:
```
8
Lattice="5.771 0.000 0.000 0.000 5.771 0.000 2.885 2.885 7.582" Properties=species:S:1:pos:R:3 pbc="T T T"
Be 2.885 2.885 0.000
Be 2.885 5.771 3.791
Hg 3.204 1.443 1.895
Hg 2.567 4.328 1.895
Hg 7.213 6.089 5.686
Hg 4.328 5.452 5.686
Ba 5.771 2.885 3.791
Ba 0.000 0.000 0.000
```

- total moment (μB per cell) = 0.000
- theoretical density (g/cm³) = 7.20
- electronic total energy (eV per atom) = -1.5767

(2)
Entry from Alexandria via LeMat-Bulk: a relaxed structure of Mg2MnRh (GGA-PBE).

Cell and atoms, written as extended XYZ:
```
4
Lattice="4.862 -0.001 0.000 1.450 4.641 0.000 -3.156 -2.320 2.881" Properties=species:S:1:pos:R:3 pbc="T T T"
Mn 3.156 2.320 0.000
Mg 0.000 0.000 0.000
Mg 0.725 2.321 1.440
Rh 2.431 0.000 1.440
```

- total moment (μB per cell) = 4.099
- theoretical density (g/cm³) = 5.27
- electronic total energy (eV per atom) = -5.0645

(3)
Entry from Alexandria via LeMat-Bulk: a relaxed structure of Ca3BeN (GGA-PBE).

Cell and atoms, written as extended XYZ:
```
5
Lattice="4.853 0.000 0.000 0.000 4.853 0.000 0.000 0.000 4.853" Properties=species:S:1:pos:R:3 pbc="T T T"
Ca 0.000 2.427 0.000
Ca 0.000 0.000 2.427
Ca 2.427 0.000 0.000
N 0.000 0.000 0.000
Be 2.427 2.427 2.427
```

- total moment (μB per cell) = 0.000
- theoretical density (g/cm³) = 2.08
- electronic total energy (eV per atom) = -3.8260
- ΔE to the lowest computed polymorph (eV per atom) = 0.000
- formation energy (no corrections) (eV/atom) = -0.2148